4
Lattice="0.000 3.605 3.605 3.605 0.000 3.605 3.605 3.605 0.000" Properties=species:S:1:pos:R:3 comment="GaTcBr2 | Alexandria | GGA-PBE | relaxed" density_g_cm3=5.8 e_form_raw_mev_per_atom=533 total_magnetization_mub_per_cell=4.00 space_group=Fm-3m crystal_system=cubic pbc="T T T"
Ga 0.000 0.000 0.000
Tc 3.605 3.605 3.605
Br 1.803 1.803 1.803
Br 5.408 5.408 5.408